Model A:
## RbMnZn2 (PBE)

Data for RbMnZn2 after structural relaxation.

Calculated values
**Total magnetic moment**: 4.1 μB/f.u.
**Crystal system**: cubic
**Calculated density**: 4485 kg/m³

Cell and atoms, written as CIF:
```
data_RbMnZn2
_symmetry_space_group_name_H-M 'P 1'
_symmetry_Int_Tables_number 1
_symmetry_space_group_name_Hall 'P 1'
_cell_length_a 5.2172
_cell_length_b 5.2172
_cell_length_c 5.2172
_cell_angle_alpha 60.00
_cell_angle_beta 60.00
_cell_angle_gamma 60.00
loop_
_atom_site_label
_atom_site_fract_x
_atom_site_fract_y
_atom_site_fract_z
Rb1 0.0000 0.0000 0.0000
Mn1 0.5000 0.5000 0.5000
Zn1 0.2500 0.2500 0.2500
Zn2 0.7500 0.7500 0.7500
```

---

Model B:
## RbMnZn2 (PBE)

Data for RbMnZn2 after structural relaxation.

Calculated values
**Total magnetic moment**: 4.0 μB/f.u.
**Crystal system**: tetragonal
**Calculated density**: 3537 kg/m³

Cell and atoms, written as CIF:
```
data_RbMnZn2
_symmetry_space_group_name_H-M 'P 1'
_symmetry_Int_Tables_number 1
_symmetry_space_group_name_Hall 'P 1'
_cell_length_a 9.5044
_cell_length_b 9.5044
_cell_length_c 9.5044
_cell_angle_alpha 146.93
_cell_angle_beta 146.93
_cell_angle_gamma 47.47
loop_
_atom_site_label
_atom_site_fract_x
_atom_site_fract_y
_atom_site_fract_z
Rb1 0.3750 0.6250 0.7500
Rb2 0.6250 0.3750 0.2500
Mn1 0.1250 0.8750 0.2500
Mn2 0.8750 0.1250 0.7500
Zn1 0.0000 0.0000 0.0000
Zn2 0.0000 0.0000 0.5000
Zn3 0.0000 0.5000 0.0000
Zn4 0.5000 0.0000 0.5000
```

---

Most stable pick: model B. Distance to second place: 16.8 kJ/mol of atoms.